A geometry-optimized BaCaSe4 structure. Source: the Alexandria database, functional PBE.

Output
Crystal system: cubic
Formation energy from raw total energies, eV/atom: -0.5643
Symmetry: F-43m (216)

Cell: 6.1236 6.1236 6.1236 Å, 60.00 60.00 60.00°
Fractional coordinates of all 6 atoms:
Ba (0.0000, 0.0000, 0.0000)
Ca (0.7500, 0.7500, 0.7500)
Se (0.3758, 0.3758, 0.3758)
Se (0.3758, 0.3758, 0.8727)
Se (0.3758, 0.8727, 0.3758)
Se (0.8727, 0.3758, 0.3758)

***

A geometry-optimized Ba2CaSe structure. Source: the Alexandria database, functional PBE.

Output
Crystal system: tetragonal
Formation energy from raw total energies, eV/atom: -0.4487
Symmetry: I4/mmm (139)

Cell: 6.9390 6.9390 6.9390 Å, 135.76 135.76 64.35°
Fractional coordinates of all 4 atoms:
Ba (0.2500, 0.7500, 0.5000)
Ba (0.7500, 0.2500, 0.5000)
Ca (0.0000, 0.0000, 0.0000)
Se (0.5000, 0.5000, 0.0000)